#A
The following is a PBE calculation of SiSeIO2 after structural relaxation, from Alexandria.

It has space group P4/mmm (No. 123), with a = 3.9199 Å, b = 3.9199 Å, c = 7.4837 Å, α = 90.00°, β = 90.00° and γ = 90.00°. The asymmetric unit holds Si at (0.0000, 0.0000, 0.0000), Se at (0.5000, 0.5000, 0.5000), I at (0.5000, 0.5000, 0.0000) and O at (0.0000, 0.5000, 0.5000).

=====

#B
The following is a PBE calculation of SiSeIO2 after structural relaxation, from Alexandria.

It has space group P4/mmm (No. 123), with a = 3.6999 Å, b = 3.6999 Å, c = 6.2941 Å, α = 90.00°, β = 90.00° and γ = 90.00°. The asymmetric unit holds Si at (0.0000, 0.0000, 0.0000), Se at (0.5000, 0.5000, 0.5000), I at (0.0000, 0.0000, 0.5000) and O at (0.0000, 0.5000, 0.0000).

=====

Which one sits at the bottom of the stability order? #A does.

=====

#A
The following is a PBE calculation of SrSeI2O after structural relaxation, from Alexandria.

It has space group P4/mmm (No. 123), with a = 6.6424 Å, b = 6.6424 Å, c = 4.3990 Å, α = 90.00°, β = 90.00° and γ = 90.00°. The asymmetric unit holds Sr at (0.0000, 0.0000, 0.0000), Se at (0.5000, 0.5000, 0.5000), I at (0.0000, 0.5000, 0.0000) and O at (0.0000, 0.0000, 0.5000).

=====

#B
The following is a PBE calculation of SrSeI2O after structural relaxation, from Alexandria.

It has space group P4/mmm (No. 123), with a = 6.0432 Å, b = 6.0432 Å, c = 3.9921 Å, α = 90.00°, β = 90.00° and γ = 90.00°. The asymmetric unit holds Sr at (0.0000, 0.0000, 0.0000), Se at (0.5000, 0.5000, 0.5000), I at (0.0000, 0.5000, 0.5000) and O at (0.5000, 0.5000, 0.0000).

=====

Which one sits at the bottom of the stability order? #A does.